[1]
# Ac5CuNi2 (PBE, relaxed)
# Total magnetization, μB/cell: 0.0
# Fermi-level density of states, states/eV/cell: 37.601
# DFT formation energy, eV per atom: -0.101
data_Ac5CuNi2
_cell_length_a 8.214
_cell_length_b 8.214
_cell_length_c 14.431
_cell_angle_alpha 90.00
_cell_angle_beta 90.00
_cell_angle_gamma 90.00
_space_group_name_H-M_alt 'I 4/m c m'
_space_group_IT_number 140
_space_group_name_Hall '-I 4 2c'
loop_
_atom_site_label
_atom_site_fract_x
_atom_site_fract_y
_atom_site_fract_z
_atom_site_occupancy
Ac1 0.000 0.000 0.000 1
Ac2 0.163 0.337 0.138 1
Cu1 0.000 0.000 0.250 1
Ni1 0.124 0.376 0.500 1

=====

[2]
# Ac4Cu2Ni (PBE, relaxed)
# Polymorph energy (0 for the lowest one), meV per atom: 0
# Total magnetization, μB/cell: 0.0
# Fermi-level density of states, states/eV/cell: 13.270
# DFT formation energy, eV per atom: -0.125
data_Ac4Cu2Ni
_cell_length_a 15.350
_cell_length_b 4.258
_cell_length_c 6.866
_cell_angle_alpha 90.00
_cell_angle_beta 98.63
_cell_angle_gamma 90.00
_space_group_name_H-M_alt 'C 1 2/m 1'
_space_group_IT_number 12
loop_
_space_group_symop_operation_xyz
'x,y,z'
'-x,-y,-z'
'-x,y,-z'
'x,-y,z'
'x+1/2,y+1/2,z'
'-x+1/2,-y+1/2,-z'
'-x+1/2,y+1/2,-z'
'x+1/2,-y+1/2,z'
loop_
_atom_site_label
_atom_site_fract_x
_atom_site_fract_y
_atom_site_fract_z
_atom_site_occupancy
Ac1 0.084 0.000 0.271 1
Ac2 0.161 0.500 0.817 1
Cu1 0.237 0.500 0.398 1
Ni1 0.000 0.500 0.000 1

=====

[3]
# AcCuNi3 (PBE, relaxed)
# Polymorph energy (0 for the lowest one), meV per atom: 138
# Total magnetization, μB/cell: 0.0
# Fermi-level density of states, states/eV/cell: 6.339
# DFT formation energy, eV per atom: -0.052
data_AcCuNi3
_cell_length_a 5.8994
_cell_length_b 5.8994
_cell_length_c 5.5573
_cell_angle_alpha 90.00
_cell_angle_beta 90.00
_cell_angle_gamma 120.00
_space_group_name_H-M_alt 'P 63/m m c'
_space_group_IT_number 194
_space_group_name_Hall '-P 6c 2c'
loop_
_atom_site_label
_atom_site_fract_x
_atom_site_fract_y
_atom_site_fract_z
_atom_site_occupancy
Ac1 0.3333 0.6667 0.2500 1
Cu1 0.0000 0.0000 0.0000 1
Ni1 0.1962 0.3924 0.7500 1

=====

[4]
# Ac2Cu12Ni5 (PBE, relaxed)
# Total magnetization, μB/cell: 0.0
# Fermi-level density of states, states/eV/cell: 33.830
# DFT formation energy, eV per atom: -0.109
data_Ac2Cu12Ni5
_cell_length_a 8.6896
_cell_length_b 8.6896
_cell_length_c 12.5522
_cell_angle_alpha 90.00
_cell_angle_beta 90.00
_cell_angle_gamma 120.00
_space_group_name_H-M_alt 'R -3 m'
_space_group_IT_number 166
_space_group_name_Hall '-R 3 2"'
loop_
_atom_site_label
_atom_site_fract_x
_atom_site_fract_y
_atom_site_fract_z
_atom_site_occupancy
Ac1 0.0000 0.0000 0.1668 1
Cu1 0.0000 0.2837 0.5000 1
Cu2 0.0072 0.5036 0.3426 1
Ni1 0.0000 0.0000 0.4033 1
Ni2 0.0000 0.5000 0.0000 1

=====

[5]
# AcCuNi (PBE, relaxed)
# Polymorph energy (0 for the lowest one), meV per atom: 164
# Total magnetization, μB/cell: 0.0
# Fermi-level density of states, states/eV/cell: 6.942
# DFT formation energy, eV per atom: -0.086
data_AcCuNi
_cell_length_a 4.230
_cell_length_b 14.076
_cell_length_c 4.812
_cell_angle_alpha 90.00
_cell_angle_beta 90.00
_cell_angle_gamma 90.00
_space_group_name_H-M_alt 'C m c m'
_space_group_IT_number 63
_space_group_name_Hall '-C 2c 2'
loop_
_atom_site_label
_atom_site_fract_x
_atom_site_fract_y
_atom_site_fract_z
_atom_site_occupancy
Ac1 0.000 0.126 0.250 1
Cu1 0.000 0.352 0.250 1
Ni1 0.000 0.500 0.000 1

=====

[6]
# AcCu2Ni (PBE, relaxed)
# Polymorph energy (0 for the lowest one), meV per atom: 52
# Total magnetization, μB/cell: 0.0
# Fermi-level density of states, states/eV/cell: 11.059
# DFT formation energy, eV per atom: -0.134
data_AcCu2Ni
_cell_length_a 4.2084
_cell_length_b 4.2084
_cell_length_c 15.4021
_cell_angle_alpha 90.00
_cell_angle_beta 90.00
_cell_angle_gamma 120.00
_space_group_name_H-M_alt 'R -3 m'
_space_group_IT_number 166
_space_group_name_Hall '-R 3 2"'
loop_
_atom_site_label
_atom_site_fract_x
_atom_site_fract_y
_atom_site_fract_z
_atom_site_occupancy
Ac1 0.0000 0.0000 0.0000 1
Cu1 0.0000 0.0000 0.1955 1
Ni1 0.0000 0.0000 0.5000 1

=====

[7]
# AcCuNi (PBE, relaxed)
# Polymorph energy (0 for the lowest one), meV per atom: 338
# Total magnetization, μB/cell: 0.0
# Fermi-level density of states, states/eV/cell: 2.699
# DFT formation energy, eV per atom: 0.088
data_AcCuNi
_cell_length_a 3.980
_cell_length_b 3.980
_cell_length_c 8.547
_cell_angle_alpha 90.00
_cell_angle_beta 90.00
_cell_angle_gamma 90.00
_space_group_name_H-M_alt 'I 4 m m'
_space_group_IT_number 107
_space_group_name_Hall 'I 4 -2'
loop_
_atom_site_label
_atom_site_fract_x
_atom_site_fract_y
_atom_site_fract_z
_atom_site_occupancy
Ac1 0.000 0.000 0.000 1
Cu1 0.000 0.000 0.346 1
Ni1 0.000 0.000 0.640 1

=====

[8]
# Ac12Cu3Ni5 (PBE, relaxed)
# Total magnetization, μB/cell: 0.0
# Fermi-level density of states, states/eV/cell: 139.426
# DFT formation energy, eV per atom: 0.068
data_Ac12Cu3Ni5
_cell_length_a 17.722
_cell_length_b 17.722
_cell_length_c 17.722
_cell_angle_alpha 90.00
_cell_angle_beta 90.00
_cell_angle_gamma 90.00
_space_group_name_H-M_alt 'I a -3 d'
_space_group_IT_number 230
_space_group_name_Hall '-I 4bd 2c 3'
loop_
_atom_site_label
_atom_site_fract_x
_atom_site_fract_y
_atom_site_fract_z
_atom_site_occupancy
Ac1 0.025 0.061 0.651 1
Cu1 0.000 0.250 0.125 1
Ni1 0.000 0.000 0.000 1
Ni2 0.000 0.250 0.375 1

=====

- What is the formula in the first record?
  Ac5CuNi2

=====

- Look up the total magnetization of the sixth one.
  0.0 μB/cell

=====

- DFT formation energy of number 4 (Ac2Cu12Ni5)?
  -0.109 eV per atom

=====

- Which value of Fermi-level density of states does entry 4 give?
  33.830 states/eV/cell